(1)
# PBE TlVRh2I, optimized geometry
# V (Å³ per cell): 117
# Crystal system: tetragonal
# Final energy (Ry per atom): -0.3535
data_TlVRh2I
_chemical_formula_sum 'Tl1 V1 Rh2 I1'
_cell_length_a 4.6252
_cell_length_b 4.6252
_cell_length_c 5.4552
_cell_angle_alpha 90.00
_cell_angle_beta 90.00
_cell_angle_gamma 90.00
_space_group_name_H-M_alt 'P 4/m m m'
_space_group_IT_number 123
_space_group_name_Hall '-P 4 2'
loop_
_atom_site_label
_atom_site_fract_x
_atom_site_fract_y
_atom_site_fract_z
Tl1 0.0000 0.0000 0.0000
V1 0.0000 0.0000 0.5000
Rh1 0.0000 0.5000 0.5000
I1 0.5000 0.5000 0.0000

***

(2)
# PBE Tm2RhI2, optimized geometry
# V (Å³ per cell): 333
# Crystal system: monoclinic
# Final energy (Ry per atom): -0.3633
data_Tm2RhI2
_chemical_formula_sum 'Tm4 Rh2 I4'
_cell_length_a 7.0511
_cell_length_b 4.0694
_cell_length_c 11.8818
_cell_angle_alpha 90.00
_cell_angle_beta 102.66
_cell_angle_gamma 90.00
_space_group_name_H-M_alt 'C 1 2/m 1'
_space_group_IT_number 12
_space_group_name_Hall '-C 2y'
loop_
_atom_site_label
_atom_site_fract_x
_atom_site_fract_y
_atom_site_fract_z
Tm1 0.2137 0.0000 0.1273
Rh1 0.0000 0.5000 0.0000
I1 0.0526 0.0000 0.6913

***

(3)
# PBE Tm2RhI, optimized geometry
# V (Å³ per cell): 330
# Crystal system: trigonal
# Final energy (Ry per atom): -0.3966
data_Tm2RhI
_chemical_formula_sum 'Tm6 Rh3 I3'
_cell_length_a 4.0221
_cell_length_b 4.0221
_cell_length_c 23.5787
_cell_angle_alpha 90.00
_cell_angle_beta 90.00
_cell_angle_gamma 120.00
_space_group_name_H-M_alt 'R -3 m'
_space_group_IT_number 166
_space_group_name_Hall '-R 3 2"'
loop_
_atom_site_label
_atom_site_fract_x
_atom_site_fract_y
_atom_site_fract_z
Tm1 0.0000 0.0000 0.2268
Rh1 0.0000 0.0000 0.5000
I1 0.0000 0.0000 0.0000

***

(4)
# PBE Tm3RhI3, optimized geometry
# V (Å³ per cell): 450
# Crystal system: monoclinic
# Final energy (Ry per atom): -0.3472
data_Tm3RhI3
_chemical_formula_sum 'Tm6 Rh2 I6'
_cell_length_a 8.8321
_cell_length_b 4.1626
_cell_length_c 12.2680
_cell_angle_alpha 90.00
_cell_angle_beta 93.65
_cell_angle_gamma 90.00
_space_group_name_H-M_alt 'P 1 21/m 1'
_space_group_IT_number 11
_space_group_name_Hall '-P 2yb'
loop_
_atom_site_label
_atom_site_fract_x
_atom_site_fract_y
_atom_site_fract_z
Tm1 0.0959 0.2500 0.3129
Tm2 0.1398 0.2500 0.8708
Tm3 0.2505 0.7500 0.1000
Rh1 0.0497 0.2500 0.0912
I1 0.1426 0.2500 0.6064
I2 0.3507 0.7500 0.3621
I3 0.4267 0.7500 0.8662

***

(5)
# PBE Tm7RhI12, optimized geometry
# V (Å³ per cell): 2295
# Crystal system: trigonal
# Final energy (Ry per atom): -0.2988
data_Tm7RhI12
_chemical_formula_sum 'Tm21 Rh3 I36'
_cell_length_a 15.5799
_cell_length_b 15.5799
_cell_length_c 10.9182
_cell_angle_alpha 90.00
_cell_angle_beta 90.00
_cell_angle_gamma 120.00
_space_group_name_H-M_alt 'R -3'
_space_group_IT_number 148
_space_group_name_Hall '-R 3'
loop_
_atom_site_label
_atom_site_fract_x
_atom_site_fract_y
_atom_site_fract_z
Tm1 0.0000 0.0000 0.0000
Tm2 0.0425 0.8857 0.3650
Rh1 0.0000 0.0000 0.5000
I1 0.0173 0.4312 0.1535
I2 0.0489 0.8746 0.8381

***

(6)
# PBE Tm4RhI5, optimized geometry
# V (Å³ per cell): 685
# Crystal system: monoclinic
# Final energy (Ry per atom): -0.3240
data_Tm4RhI5
_chemical_formula_sum 'Tm8 Rh2 I10'
_cell_length_a 19.5595
_cell_length_b 4.0632
_cell_length_c 8.8197
_cell_angle_alpha 90.00
_cell_angle_beta 102.16
_cell_angle_gamma 90.00
_space_group_name_H-M_alt 'C 1 2/m 1'
_space_group_IT_number 12
_space_group_name_Hall '-C 2y'
loop_
_atom_site_label
_atom_site_fract_x
_atom_site_fract_y
_atom_site_fract_z
Tm1 0.0011 0.0000 0.1993
Tm2 0.1408 0.5000 0.0716
Rh1 0.0000 0.5000 0.0000
I1 0.0000 0.5000 0.5000
I2 0.1682 0.0000 0.3423
I3 0.1799 0.0000 0.8325

***

(7)
# PBE VRhI2, optimized geometry
# V (Å³ per cell): 339
# Crystal system: cubic
# Final energy (Ry per atom): -0.3178
data_VRhI2
_chemical_formula_sum 'V4 Rh4 I8'
_cell_length_a 6.9698
_cell_length_b 6.9698
_cell_length_c 6.9698
_cell_angle_alpha 90.00
_cell_angle_beta 90.00
_cell_angle_gamma 90.00
_space_group_name_H-M_alt 'F m -3 m'
_space_group_IT_number 225
_space_group_name_Hall '-F 4 2 3'
loop_
_atom_site_label
_atom_site_fract_x
_atom_site_fract_y
_atom_site_fract_z
V1 0.0000 0.0000 0.0000
Rh1 0.0000 0.0000 0.5000
I1 0.2500 0.2500 0.2500

***

(8)
# PBE VRhI2, optimized geometry
# V (Å³ per cell): 462
# Crystal system: tetragonal
# Final energy (Ry per atom): -0.3315
data_VRhI2
_chemical_formula_sum 'V4 Rh4 I8'
_cell_length_a 5.9658
_cell_length_b 5.9658
_cell_length_c 12.9847
_cell_angle_alpha 90.00
_cell_angle_beta 90.00
_cell_angle_gamma 90.00
_space_group_name_H-M_alt 'I -4 2 d'
_space_group_IT_number 122
_space_group_name_Hall 'I -4 2bw'
loop_
_atom_site_label
_atom_site_fract_x
_atom_site_fract_y
_atom_site_fract_z
V1 0.0000 0.0000 0.0000
Rh1 0.0000 0.0000 0.5000
I1 0.2452 0.2500 0.6250

***

(9)
# PBE V3RhI, optimized geometry
# V (Å³ per cell): 108
# Crystal system: cubic
# Final energy (Ry per atom): -0.4608
data_V3RhI
_chemical_formula_sum 'V3 Rh1 I1'
_cell_length_a 4.7672
_cell_length_b 4.7672
_cell_length_c 4.7672
_cell_angle_alpha 90.00
_cell_angle_beta 90.00
_cell_angle_gamma 90.00
_space_group_name_H-M_alt 'P m -3 m'
_space_group_IT_number 221
_space_group_name_Hall '-P 4 2 3'
loop_
_atom_site_label
_atom_site_fract_x
_atom_site_fract_y
_atom_site_fract_z
V1 0.0000 0.0000 0.5000
Rh1 0.0000 0.0000 0.0000
I1 0.5000 0.5000 0.5000

***

(10)
# PBE RhWI3, optimized geometry
# V (Å³ per cell): 154
# Crystal system: cubic
# Final energy (Ry per atom): -0.2718
data_RhWI3
_chemical_formula_sum 'Rh1 W1 I3'
_cell_length_a 5.3614
_cell_length_b 5.3614
_cell_length_c 5.3614
_cell_angle_alpha 90.00
_cell_angle_beta 90.00
_cell_angle_gamma 90.00
_space_group_name_H-M_alt 'P m -3 m'
_space_group_IT_number 221
_space_group_name_Hall '-P 4 2 3'
loop_
_atom_site_label
_atom_site_fract_x
_atom_site_fract_y
_atom_site_fract_z
Rh1 0.0000 0.0000 0.0000
W1 0.5000 0.5000 0.5000
I1 0.0000 0.0000 0.5000

***

(11)
# PBE Rh2WI, optimized geometry
# V (Å³ per cell): 386
# Crystal system: tetragonal
# Final energy (Ry per atom): -0.4829
data_Rh2WI
_chemical_formula_sum 'Rh8 W4 I4'
_cell_length_a 6.3150
_cell_length_b 6.3150
_cell_length_c 9.6831
_cell_angle_alpha 90.00
_cell_angle_beta 90.00
_cell_angle_gamma 90.00
_space_group_name_H-M_alt 'I -4 2 d'
_space_group_IT_number 122
_space_group_name_Hall 'I -4 2bw'
loop_
_atom_site_label
_atom_site_fract_x
_atom_site_fract_y
_atom_site_fract_z
Rh1 0.2139 0.2500 0.1250
W1 0.0000 0.0000 0.0000
I1 0.0000 0.0000 0.5000

***

(12)
# PBE RhW3I, optimized geometry
# V (Å³ per cell): 110
# Crystal system: cubic
# Final energy (Ry per atom): -0.5416
data_RhW3I
_chemical_formula_sum 'Rh1 W3 I1'
_cell_length_a 4.7978
_cell_length_b 4.7978
_cell_length_c 4.7978
_cell_angle_alpha 90.00
_cell_angle_beta 90.00
_cell_angle_gamma 90.00
_space_group_name_H-M_alt 'P m -3 m'
_space_group_IT_number 221
_space_group_name_Hall '-P 4 2 3'
loop_
_atom_site_label
_atom_site_fract_x
_atom_site_fract_y
_atom_site_fract_z
Rh1 0.0000 0.0000 0.0000
W1 0.0000 0.0000 0.5000
I1 0.5000 0.5000 0.5000

***

(13)
# PBE Rh2WI, optimized geometry
# V (Å³ per cell): 278
# Crystal system: cubic
# Final energy (Ry per atom): -0.4688
data_Rh2WI
_chemical_formula_sum 'Rh8 W4 I4'
_cell_length_a 6.5256
_cell_length_b 6.5256
_cell_length_c 6.5256
_cell_angle_alpha 90.00
_cell_angle_beta 90.00
_cell_angle_gamma 90.00
_space_group_name_H-M_alt 'F m -3 m'
_space_group_IT_number 225
_space_group_name_Hall '-F 4 2 3'
loop_
_atom_site_label
_atom_site_fract_x
_atom_site_fract_y
_atom_site_fract_z
Rh1 0.2500 0.2500 0.2500
W1 0.0000 0.0000 0.0000
I1 0.0000 0.0000 0.5000

***

(14)
# PBE RhWI2, optimized geometry
# V (Å³ per cell): 440
# Crystal system: tetragonal
# Final energy (Ry per atom): -0.3468
data_RhWI2
_chemical_formula_sum 'Rh4 W4 I8'
_cell_length_a 6.1320
_cell_length_b 6.1320
_cell_length_c 11.7009
_cell_angle_alpha 90.00
_cell_angle_beta 90.00
_cell_angle_gamma 90.00
_space_group_name_H-M_alt 'I -4 2 d'
_space_group_IT_number 122
_space_group_name_Hall 'I -4 2bw'
loop_
_atom_site_label
_atom_site_fract_x
_atom_site_fract_y
_atom_site_fract_z
Rh1 0.0000 0.0000 0.0000
W1 0.0000 0.0000 0.5000
I1 0.2473 0.2500 0.1250

***

(15)
# PBE RhWI3, optimized geometry
# V (Å³ per cell): 158
# Crystal system: cubic
# Final energy (Ry per atom): -0.2656
data_RhWI3
_chemical_formula_sum 'Rh1 W1 I3'
_cell_length_a 5.4062
_cell_length_b 5.4062
_cell_length_c 5.4062
_cell_angle_alpha 90.00
_cell_angle_beta 90.00
_cell_angle_gamma 90.00
_space_group_name_H-M_alt 'P m -3 m'
_space_group_IT_number 221
_space_group_name_Hall '-P 4 2 3'
loop_
_atom_site_label
_atom_site_fract_x
_atom_site_fract_y
_atom_site_fract_z
Rh1 0.0000 0.0000 0.0000
W1 0.5000 0.5000 0.5000
I1 0.0000 0.5000 0.5000

***

(16)
# PBE RhWI2, optimized geometry
# V (Å³ per cell): 317
# Crystal system: cubic
# Final energy (Ry per atom): -0.3461
data_RhWI2
_chemical_formula_sum 'Rh4 W4 I8'
_cell_length_a 6.8177
_cell_length_b 6.8177
_cell_length_c 6.8177
_cell_angle_alpha 90.00
_cell_angle_beta 90.00
_cell_angle_gamma 90.00
_space_group_name_H-M_alt 'F m -3 m'
_space_group_IT_number 225
_space_group_name_Hall '-F 4 2 3'
loop_
_atom_site_label
_atom_site_fract_x
_atom_site_fract_y
_atom_site_fract_z
Rh1 0.0000 0.0000 0.0000
W1 0.0000 0.0000 0.5000
I1 0.2500 0.2500 0.2500

***

(17)
# PBE YRh2WI, optimized geometry
# V (Å³ per cell): 115
# Crystal system: tetragonal
# Final energy (Ry per atom): -0.4506
data_YRh2WI
_chemical_formula_sum 'Y1 Rh2 W1 I1'
_cell_length_a 4.8214
_cell_length_b 4.8214
_cell_length_c 4.9590
_cell_angle_alpha 90.00
_cell_angle_beta 90.00
_cell_angle_gamma 90.00
_space_group_name_H-M_alt 'P 4/m m m'
_space_group_IT_number 123
_space_group_name_Hall '-P 4 2'
loop_
_atom_site_label
_atom_site_fract_x
_atom_site_fract_y
_atom_site_fract_z
Y1 0.0000 0.0000 0.0000
Rh1 0.0000 0.5000 0.5000
W1 0.5000 0.5000 0.0000
I1 0.5000 0.5000 0.5000

***

(18)
# PBE ZnRh2WI, optimized geometry
# V (Å³ per cell): 115
# Crystal system: tetragonal
# Final energy (Ry per atom): -0.3684
data_ZnRh2WI
_chemical_formula_sum 'Zn1 Rh2 W1 I1'
_cell_length_a 4.7629
_cell_length_b 4.7629
_cell_length_c 5.0651
_cell_angle_alpha 90.00
_cell_angle_beta 90.00
_cell_angle_gamma 90.00
_space_group_name_H-M_alt 'P 4/m m m'
_space_group_IT_number 123
_space_group_name_Hall '-P 4 2'
loop_
_atom_site_label
_atom_site_fract_x
_atom_site_fract_y
_atom_site_fract_z
Zn1 0.0000 0.0000 0.0000
Rh1 0.0000 0.5000 0.5000
W1 0.0000 0.0000 0.5000
I1 0.5000 0.5000 0.0000

***

(19)
# PBE YRhI, optimized geometry
# V (Å³ per cell): 174
# Crystal system: monoclinic
# Final energy (Ry per atom): -0.4393
data_YRhI
_chemical_formula_sum 'Y2 Rh2 I2'
_cell_length_a 3.9785
_cell_length_b 3.9786
_cell_length_c 10.9794
_cell_angle_alpha 90.00
_cell_angle_beta 90.27
_cell_angle_gamma 90.00
_space_group_name_H-M_alt 'P 1 21/m 1'
_space_group_IT_number 11
_space_group_name_Hall '-P 2yb'
loop_
_atom_site_label
_atom_site_fract_x
_atom_site_fract_y
_atom_site_fract_z
Y1 0.2469 0.2500 0.3231
Rh1 0.2502 0.7500 0.5000
I1 0.2550 0.2500 0.8349

***

(20)
# PBE YRhI, optimized geometry
# V (Å³ per cell): 370
# Crystal system: monoclinic
# Final energy (Ry per atom): -0.4525
data_YRhI
_chemical_formula_sum 'Y4 Rh4 I4'
_cell_length_a 7.4593
_cell_length_b 4.3070
_cell_length_c 11.7694
_cell_angle_alpha 90.00
_cell_angle_beta 101.96
_cell_angle_gamma 90.00
_space_group_name_H-M_alt 'C 1 2/m 1'
_space_group_IT_number 12
_space_group_name_Hall '-C 2y'
loop_
_atom_site_label
_atom_site_fract_x
_atom_site_fract_y
_atom_site_fract_z
Y1 0.0503 0.0000 0.1540
Rh1 0.1657 0.5000 0.9970
I1 0.2252 0.0000 0.6690

***

(21)
# PBE YRh3I, optimized geometry
# V (Å³ per cell): 114
# Crystal system: cubic
# Final energy (Ry per atom): -0.4135
data_YRh3I
_chemical_formula_sum 'Y1 Rh3 I1'
_cell_length_a 4.8436
_cell_length_b 4.8436
_cell_length_c 4.8436
_cell_angle_alpha 90.00
_cell_angle_beta 90.00
_cell_angle_gamma 90.00
_space_group_name_H-M_alt 'P m -3 m'
_space_group_IT_number 221
_space_group_name_Hall '-P 4 2 3'
loop_
_atom_site_label
_atom_site_fract_x
_atom_site_fract_y
_atom_site_fract_z
Y1 0.0000 0.0000 0.0000
Rh1 0.0000 0.5000 0.5000
I1 0.5000 0.5000 0.5000

***

(22)
# PBE Y3RhI3, optimized geometry
# V (Å³ per cell): 463
# Crystal system: monoclinic
# Final energy (Ry per atom): -0.4106
data_Y3RhI3
_chemical_formula_sum 'Y6 Rh2 I6'
_cell_length_a 8.9188
_cell_length_b 4.2088
_cell_length_c 12.3478
_cell_angle_alpha 90.00
_cell_angle_beta 93.58
_cell_angle_gamma 90.00
_space_group_name_H-M_alt 'P 1 21/m 1'
_space_group_IT_number 11
_space_group_name_Hall '-P 2yb'
loop_
_atom_site_label
_atom_site_fract_x
_atom_site_fract_y
_atom_site_fract_z
Y1 0.0990 0.2500 0.3194
Y2 0.1373 0.2500 0.8703
Y3 0.2584 0.7500 0.1031
Rh1 0.0542 0.2500 0.0935
I1 0.1438 0.2500 0.6053
I2 0.3554 0.7500 0.3629
I3 0.4248 0.7500 0.8668

***

(23)
# PBE Y3RhI, optimized geometry
# V (Å³ per cell): 161
# Crystal system: cubic
# Final energy (Ry per atom): -0.4457
data_Y3RhI
_chemical_formula_sum 'Y3 Rh1 I1'
_cell_length_a 5.4415
_cell_length_b 5.4415
_cell_length_c 5.4415
_cell_angle_alpha 90.00
_cell_angle_beta 90.00
_cell_angle_gamma 90.00
_space_group_name_H-M_alt 'P m -3 m'
_space_group_IT_number 221
_space_group_name_Hall '-P 4 2 3'
loop_
_atom_site_label
_atom_site_fract_x
_atom_site_fract_y
_atom_site_fract_z
Y1 0.0000 0.0000 0.5000
Rh1 0.0000 0.0000 0.0000
I1 0.5000 0.5000 0.5000

***

(24)
# PBE Y2RhI2, optimized geometry
# V (Å³ per cell): 344
# Crystal system: monoclinic
# Final energy (Ry per atom): -0.4220
data_Y2RhI2
_chemical_formula_sum 'Y4 Rh2 I4'
_cell_length_a 7.1306
_cell_length_b 4.1157
_cell_length_c 12.0186
_cell_angle_alpha 90.00
_cell_angle_beta 102.65
_cell_angle_gamma 90.00
_space_group_name_H-M_alt 'C 1 2/m 1'
_space_group_IT_number 12
_space_group_name_Hall '-C 2y'
loop_
_atom_site_label
_atom_site_fract_x
_atom_site_fract_y
_atom_site_fract_z
Y1 0.2147 0.0000 0.1300
Rh1 0.0000 0.5000 0.0000
I1 0.0519 0.0000 0.6890

***

(25)
# PBE YRhI, optimized geometry
# V (Å³ per cell): 185
# Crystal system: triclinic
# Final energy (Ry per atom): -0.4519
data_YRhI
_chemical_formula_sum 'Y2 Rh2 I2'
_cell_length_a 4.3006
_cell_length_b 4.3008
_cell_length_c 11.7768
_cell_angle_alpha 79.53
_cell_angle_beta 89.67
_cell_angle_gamma 60.01
_space_group_name_H-M_alt 'P 1'
_space_group_IT_number 1
_space_group_name_Hall 'P 1'
loop_
_atom_site_label
_atom_site_fract_x
_atom_site_fract_y
_atom_site_fract_z
Y1 0.0000 0.0000 0.0000
Y2 0.0959 0.7983 0.3090
Rh1 0.3817 0.2323 0.1545
Rh2 0.7150 0.5656 0.1545
I1 0.6108 0.7833 0.8217
I2 0.8180 0.3484 0.4873